Entry 1:
Crystalline PmMg2Cu at its relaxed geometry. Source: the Alexandria database, functional PBE.

Output
Offset from the most stable computed form, eV/f.u.: 0.00
Formation enthalpy at 0 K, eV/atom: -0.18
Space-group type: Cmcm (63)

abc: 4.4157 5.5103 8.0634
angles: 90.00 90.00 113.62
Closest atoms and distances in Å follow each position.
Fractional positions:
Cu  0.7652  0.5304  0.7500  6 Mg 2.72-2.84, 1 Pm 2.92
Cu  0.2348  0.4696  0.2500  6 Mg 2.72-2.84, 1 Pm 2.92
Mg  0.6507  0.3014  0.4446  3 Cu 2.72-2.84
Mg  0.3493  0.6986  0.5554  3 Cu 2.72-2.84
Mg  0.3493  0.6986  0.9446  3 Cu 2.72-2.84
Mg  0.6507  0.3014  0.0554  3 Cu 2.72-2.84
Pm  0.0546  0.1091  0.7500  3 Cu 2.92-3.07
Pm  0.9454  0.8909  0.2500  3 Cu 2.92-3.07

=====

Entry 2:
Crystalline Li2CaRh at its relaxed geometry. Source: the Alexandria database, functional PBE.

Output
Offset from the most stable computed form, eV/f.u.: 0.38
Formation enthalpy at 0 K, eV/atom: -0.10
Space-group type: Pm (6)

abc: 4.1400 3.4163 5.9887
angles: 74.00 90.00 90.00
Closest atoms and distances in Å follow each position.
Fractional positions:
Li  0.5000  0.4421  0.2356  2 Rh 2.49, 4 Li 2.77-2.78
Li  0.0000  0.0030  0.1136  2 Rh 2.70-2.71, 4 Li 2.77-2.78
Ca  0.5000  0.7298  0.6735  4 Rh 2.91, 3 Li 3.04-3.24
Rh  0.0000  0.3251  0.4773  4 Li 2.49-2.71

=====

Entry 3:
Crystalline PrSmY5 at its relaxed geometry. Source: the Alexandria database, functional PBE.

Output
Offset from the most stable computed form, eV/f.u.: 6.85
Formation enthalpy at 0 K, eV/atom: 1.08
Space-group type: Immm (71)

abc: 5.8070 7.8914 7.8914
angles: 66.38 68.41 68.41
Closest atoms and distances in Å follow each position.
Fractional positions:
Y  0.2519  0.7481  0.7481  1 Sm 2.94, 1 Pr 2.99
Y  0.5000  0.1798  0.8202  1 Sm 2.77
Y  0.5000  0.8202  0.1798  1 Sm 2.77
Y  0.0000  0.5000  0.5000  2 Sm 2.90
Y  0.7481  0.2519  0.2519  1 Sm 2.94, 1 Pr 2.99
Sm  0.5000  0.5000  0.5000  6 Y 2.77-2.94
Pr  0.0000  0.0000  0.0000  6 Y 2.99-3.29

=====

Entry 4:
Crystalline ErScCdAu at its relaxed geometry. Source: the Alexandria database, functional PBE.

Output
Offset from the most stable computed form, eV/f.u.: 0.14
Formation enthalpy at 0 K, eV/atom: -0.54
Space-group type: F-43m (216)

abc: 5.0262 5.0262 5.0262
angles: 60.00 60.00 60.00
Closest atoms and distances in Å follow each position.
Fractional positions:
Cd  0.7500  0.7500  0.7500  4 Er 3.08, 4 Sc 3.08
Au  0.2500  0.2500  0.2500  4 Er 3.08, 4 Sc 3.08
Er  0.5000  0.5000  0.5000  4 Cd 3.08, 4 Au 3.08
Sc  0.0000  0.0000  0.0000  4 Cd 3.08, 4 Au 3.08

=====

Entry 5:
Crystalline Al2TcW at its relaxed geometry. Source: the Alexandria database, functional PBE.

Output
Offset from the most stable computed form, eV/f.u.: 1.10
Formation enthalpy at 0 K, eV/atom: -0.03
Space-group type: P4/mmm (123)

abc: 4.0827 3.8367 3.8367
angles: 90.00 90.00 90.00
Closest atoms and distances in Å follow each position.
Fractional positions:
Tc  0.5000  0.5000  0.0000  4 W 2.71, 8 Al 2.80
Al  0.0000  0.0000  0.0000  4 Al 2.71, 4 W 2.80, 4 Tc 2.80
Al  0.0000  0.5000  0.5000  4 Al 2.71, 4 Tc 2.80, 4 W 2.80
W  0.5000  0.0000  0.5000  4 Tc 2.71, 8 Al 2.80

=====

Entry 6:
Crystalline HfCd2PbO6 at its relaxed geometry. Source: the Alexandria database, functional PBE.

Output
ΔE_f (raw), meV/atom: -1718
Space-group type: R3 (146)

abc: 5.6773 5.6774 5.9034
angles: 61.26 61.26 60.00
Closest atoms and distances in Å follow each position.
Fractional positions:
O  0.1780  0.9442  0.2763  1 Hf 2.15, 1 Pb 2.17, 1 Cd 2.24
O  0.9443  0.6014  0.2764  1 Hf 2.15, 1 Pb 2.17, 1 Cd 2.24
O  0.6913  0.0832  0.7661  1 Hf 2.06, 1 Pb 2.25, 1 Cd 2.26
O  0.0832  0.4595  0.7661  1 Hf 2.06, 1 Pb 2.25, 1 Cd 2.26
O  0.4595  0.6912  0.7661  1 Hf 2.06, 1 Pb 2.25, 1 Cd 2.26
O  0.6014  0.1780  0.2764  1 Hf 2.15, 1 Pb 2.18, 1 Cd 2.24
Cd  0.5389  0.5389  0.3833  3 O 2.24
Cd  0.0369  0.0369  0.8894  6 O 2.26-2.51
Hf  0.8141  0.8142  0.5576  6 O 2.06-2.15
Pb  0.3141  0.3141  0.0576  6 O 2.17-2.25

=====

Entry 7:
Crystalline LiErThSe4 at its relaxed geometry. Source: the Alexandria database, functional PBE.

Output
ΔE_f (raw), meV/atom: -1690
Space-group type: Imma (74)

abc: 8.1777 8.3653 8.3653
angles: 61.87 60.74 60.74
Closest atoms and distances in Å follow each position.
Fractional positions:
Se  0.2496  0.2434  0.7434  1 Li 2.69, 1 Er 2.87, 2 Th 2.93
Se  0.7504  0.7566  0.2566  1 Li 2.69, 1 Er 2.87, 2 Th 2.93
Se  0.7537  0.7644  0.7283  1 Li 2.70, 2 Er 2.86, 1 Th 2.91
Se  0.2364  0.7566  0.2566  1 Li 2.69, 1 Er 2.87, 2 Th 2.93
Se  0.7537  0.2283  0.2644  1 Li 2.70, 2 Er 2.86, 1 Th 2.91
Se  0.7636  0.2434  0.7434  1 Li 2.69, 1 Er 2.87, 2 Th 2.93
Se  0.2463  0.2356  0.2717  1 Li 2.70, 2 Er 2.86, 1 Th 2.91
Se  0.2463  0.7717  0.7356  1 Li 2.70, 2 Er 2.86, 1 Th 2.91
Li  0.6353  0.6147  0.1147  4 Se 2.69-2.70
Li  0.3647  0.3853  0.8853  4 Se 2.69-2.70
Th  0.0000  0.5000  0.5000  6 Se 2.91-2.93
Th  0.0000  0.0000  0.0000  6 Se 2.91-2.93
Er  0.5000  0.0000  0.5000  6 Se 2.86-2.87
Er  0.0000  0.0000  0.5000  6 Se 2.86-2.87

=====

Entry 8:
Crystalline Rh3CN at its relaxed geometry. Source: the Alexandria database, functional PBE.

Output
ΔE_f (raw), meV/atom: 1278
Space-group type: Pm-3m (221)

abc: 4.0048 4.0048 4.0048
angles: 90.00 90.00 90.00
Closest atoms and distances in Å follow each position.
Fractional positions:
Rh  0.0000  0.5000  0.0000  2 C 2.00
Rh  0.0000  0.0000  0.5000  2 C 2.00
Rh  0.5000  0.0000  0.0000  2 C 2.00
C  0.0000  0.0000  0.0000  6 Rh 2.00
N  0.5000  0.5000  0.5000  12 Rh 2.83

=====

Entry 9:
Crystalline KTcCl at its relaxed geometry. Source: the Alexandria database, functional PBE.

Output
Offset from the most stable computed form, eV/f.u.: 0.21
ΔE_f (raw), meV/atom: 535
Space-group type: Fmm2 (42)

abc: 7.2144 7.2102 3.2615
angles: 77.00 76.86 26.14
Closest atoms and distances in Å follow each position.
Fractional positions:
K  0.3525  0.3525  0.6475  4 Cl 3.12-3.13, 4 K 3.26
Cl  0.0069  0.0069  0.9931  4 Tc 2.94-2.95, 4 K 3.12-3.13, 4 Cl 3.26
Tc  0.6406  0.6406  0.3594  4 Cl 2.94-2.95, 4 Tc 3.26

=====

Entry 10:
Crystalline Nd2YPaP4 at its relaxed geometry. Source: the Alexandria database, functional PBE.

Output
Formation enthalpy at 0 K, eV/atom: -1.52
Space-group type: P2/m (10)

abc: 4.0741 7.0233 7.0753
angles: 109.40 90.00 90.00
Closest atoms and distances in Å follow each position.
Fractional positions:
P  0.0000  0.2587  0.7652  2 Pa 2.81, 1 Y 2.84, 3 Nd 2.92-2.95
P  0.5000  0.7488  0.7639  1 Pa 2.79, 2 Y 2.85, 3 Nd 2.92-2.96
P  0.5000  0.2512  0.2361  1 Pa 2.79, 2 Y 2.85, 3 Nd 2.92-2.96
P  0.0000  0.7413  0.2348  2 Pa 2.81, 1 Y 2.84, 3 Nd 2.92-2.95
Nd  0.0000  0.5000  0.5000  6 P 2.92
Nd  0.5000  0.0000  0.5000  6 P 2.95-2.96
Y  0.0000  0.0000  0.0000  6 P 2.84-2.85
Pa  0.5000  0.5000  0.0000  6 P 2.79-2.81

=====

Entry 11:
Crystalline AgGeAu6 at its relaxed geometry. Source: the Alexandria database, functional PBE.

Output
Offset from the most stable computed form, eV/f.u.: 0.21
Formation enthalpy at 0 K, eV/atom: 0.06
Space-group type: C2/m (12)

abc: 5.5661 5.5661 7.9269
angles: 110.85 110.85 120.03
Closest atoms and distances in Å follow each position.
Fractional positions:
Au  0.1942  0.1942  0.7511  1 Ag 2.82, 6 Au 2.83-2.88, 1 Ge 2.84
Au  0.6887  0.2465  0.2483  1 Ge 2.81, 1 Ag 2.84, 6 Au 2.84-2.87
Au  0.8058  0.8058  0.2489  1 Ag 2.82, 6 Au 2.83-2.88, 1 Ge 2.84
Au  0.3113  0.7535  0.7517  1 Ge 2.81, 1 Ag 2.84, 6 Au 2.84-2.87
Au  0.7535  0.3113  0.7517  1 Ge 2.81, 1 Ag 2.84, 6 Au 2.84-2.87
Au  0.2465  0.6887  0.2483  1 Ge 2.81, 1 Ag 2.84, 6 Au 2.84-2.87
Ge  0.0000  0.0000  0.0000  2 Ag 2.78, 6 Au 2.81-2.84
Ag  0.5000  0.5000  0.5000  2 Ge 2.78, 6 Au 2.82-2.84

=====

Entry 12:
Crystalline AcNb2O8 at its relaxed geometry. Source: the Alexandria database, functional PBE.

Output
ΔE_f (raw), meV/atom: -1984
Space-group type: P4/mmm (123)

abc: 4.9214 4.9214 6.1947
angles: 90.00 90.00 90.00
Closest atoms and distances in Å follow each position.
Fractional positions:
O  0.7502  0.7502  0.8033  2 Nb 2.12
O  0.2498  0.7502  0.8033  2 Nb 2.12
O  0.2498  0.2498  0.1967  2 Nb 2.12
O  0.2498  0.7502  0.1967  2 Nb 2.12
O  0.7502  0.2498  0.1967  2 Nb 2.12
O  0.7502  0.2498  0.8033  2 Nb 2.12
O  0.2498  0.2498  0.8033  2 Nb 2.12
O  0.7502  0.7502  0.1967  2 Nb 2.12
Ac  0.5000  0.5000  0.5000  8 O 2.56
Nb  0.5000  0.0000  0.0000  8 O 2.12
Nb  0.0000  0.5000  0.0000  8 O 2.12